Below is a geometry-optimized AcGaSiRh3 structure, with properties calculated at the PBE level.

Unit cell a=7.621 b=7.621 c=5.967 alpha=90.00 beta=90.00 gamma=134.09
Fractional positions:
Ac 0.246 0.754 0.750
Ac 0.754 0.246 0.250
Ga 0.093 0.907 0.250
Ga 0.907 0.093 0.750
Si 0.431 0.569 0.250
Si 0.569 0.431 0.750
Rh 0.251 0.251 0.000
Rh 0.251 0.251 0.500
Rh 0.267 0.733 0.250
Rh 0.733 0.267 0.750
Rh 0.749 0.749 0.000
Rh 0.749 0.749 0.500

Output
* total DFT energy (no corrections): -6.47 eV per atom
* raw formation energy: -0.70 eV per atom
* total magnetization: 0.0 μB/cell

Below is a geometry-optimized Nd4C2S structure, with properties calculated at the PBE level.

Unit cell a=13.546 b=13.546 c=13.546 alpha=16.23 beta=16.23 gamma=16.23
Fractional positions:
Nd 0.116 0.116 0.116
Nd 0.288 0.288 0.288
Nd 0.712 0.712 0.712
Nd 0.884 0.884 0.884
C 0.418 0.418 0.418
C 0.582 0.582 0.582
S 0.000 0.000 0.000

Output
* total DFT energy (no corrections): -6.63 eV per atom
* raw formation energy: -0.68 eV per atom
* total magnetization: 0.0 μB/cell

Question: The lowest total DFT energy (no corrections) belongs to which entry?
Answer: Nd4C2S

Please write out number 2 again, unchanged.
Below is a geometry-optimized Nd4C2S structure, with properties calculated at the PBE level.

Unit cell a=13.546 b=13.546 c=13.546 alpha=16.23 beta=16.23 gamma=16.23
Fractional positions:
Nd 0.116 0.116 0.116
Nd 0.288 0.288 0.288
Nd 0.712 0.712 0.712
Nd 0.884 0.884 0.884
C 0.418 0.418 0.418
C 0.582 0.582 0.582
S 0.000 0.000 0.000

Output
* total DFT energy (no corrections): -6.63 eV per atom
* raw formation energy: -0.68 eV per atom
* total magnetization: 0.0 μB/cell